# 1
# Nb2IrO

Nb2IrO after structural relaxation (PBE, Alexandria).

Results
Its energy relative to the elements, uncorrected is -65.1 kJ per mole of atoms. The space group is I-42d, No. 122.

Cell lengths 5.013, 5.013, 11.370 Å; angles 90.00, 90.00, 90.00 degrees
Positions (direct):
Nb (0.170, 0.250, 0.125)
Nb (0.250, 0.670, 0.375)
Nb (0.250, 0.830, 0.875)
Nb (0.330, 0.250, 0.625)
Nb (0.670, 0.750, 0.625)
Nb (0.750, 0.170, 0.875)
Nb (0.750, 0.330, 0.375)
Nb (0.830, 0.750, 0.125)
Ir (0.000, 0.000, 0.500)
Ir (0.000, 0.500, 0.750)
Ir (0.500, 0.000, 0.250)
Ir (0.500, 0.500, 0.000)
O (0.000, 0.000, 0.000)
O (0.000, 0.500, 0.250)
O (0.500, 0.000, 0.750)
O (0.500, 0.500, 0.500)

# 2
# MnAsW

MnAsW after structural relaxation (PBE, Alexandria).

Results
The space group is Fmm2, No. 42. As for the formation energy from the elements: 0.328 eV/atom.

Cell lengths 3.311, 4.606, 11.803 Å; angles 90.00, 90.00, 90.00 degrees
Positions (direct):
Mn (0.000, 0.000, 0.000)
Mn (0.000, 0.500, 0.500)
Mn (0.500, 0.000, 0.500)
Mn (0.500, 0.500, 0.000)
As (0.000, 0.000, 0.657)
As (0.000, 0.500, 0.157)
As (0.500, 0.000, 0.157)
As (0.500, 0.500, 0.657)
W (0.000, 0.000, 0.334)
W (0.000, 0.500, 0.834)
W (0.500, 0.000, 0.834)
W (0.500, 0.500, 0.334)

# 3
# La2MgIr

La2MgIr after structural relaxation (PBE, Alexandria).

Results
The space group is Amm2, No. 38. As for the formation energy from the elements: -0.368 eV/atom.

Cell lengths 3.909, 4.527, 12.917 Å; angles 90.00, 90.00, 90.00 degrees
Positions (direct):
La (0.000, 0.000, 0.000)
La (0.000, 0.500, 0.500)
La (0.500, 0.000, 0.306)
La (0.500, 0.500, 0.806)
Mg (0.000, 0.000, 0.684)
Mg (0.000, 0.500, 0.184)
Ir (0.500, 0.000, 0.528)
Ir (0.500, 0.500, 0.028)

# 4
# LiNi3W

LiNi3W after structural relaxation (PBE, Alexandria).

Results
The space group is Pm-3m, No. 221. As for the formation energy from the elements: 0.768 eV/atom.

Cell lengths 3.898, 3.898, 3.898 Å; angles 90.00, 90.00, 90.00 degrees
Positions (direct):
Li (0.000, 0.000, 0.000)
Ni (0.000, 0.000, 0.500)
Ni (0.000, 0.500, 0.000)
Ni (0.500, 0.000, 0.000)
W (0.500, 0.500, 0.500)

# 5
# ScZnNi5

ScZnNi5 after structural relaxation (PBE, Alexandria).

Results
The space group is Pnma, No. 62. As for the formation energy from the elements: -0.291 eV/atom.

Cell lengths 7.743, 4.701, 9.886 Å; angles 90.00, 90.00, 90.00 degrees
Positions (direct):
Sc (0.246, 0.250, 0.059)
Sc (0.254, 0.750, 0.559)
Sc (0.746, 0.250, 0.441)
Sc (0.754, 0.750, 0.941)
Zn (0.138, 0.750, 0.857)
Zn (0.362, 0.250, 0.357)
Zn (0.638, 0.750, 0.643)
Zn (0.862, 0.250, 0.143)
Ni (0.051, 0.750, 0.093)
Ni (0.067, 0.005, 0.308)
Ni (0.067, 0.495, 0.308)
Ni (0.097, 0.250, 0.518)
Ni (0.187, 0.250, 0.749)
Ni (0.313, 0.750, 0.249)
Ni (0.403, 0.750, 0.018)
Ni (0.433, 0.505, 0.808)
Ni (0.433, 0.995, 0.808)
Ni (0.449, 0.250, 0.593)
Ni (0.551, 0.750, 0.407)
Ni (0.567, 0.005, 0.192)
Ni (0.567, 0.495, 0.192)
Ni (0.597, 0.250, 0.982)
Ni (0.687, 0.250, 0.751)
Ni (0.813, 0.750, 0.251)
Ni (0.903, 0.750, 0.482)
Ni (0.933, 0.505, 0.692)
Ni (0.933, 0.995, 0.692)
Ni (0.949, 0.250, 0.907)

# 6
# LaIr3Br

LaIr3Br after structural relaxation (PBE, Alexandria).

Results
Its energy relative to the elements, uncorrected is 80.9 kJ per mole of atoms. The space group is Pm-3m, No. 221.

Cell lengths 4.734, 4.734, 4.734 Å; angles 90.00, 90.00, 90.00 degrees
Positions (direct):
La (0.000, 0.000, 0.000)
Ir (0.000, 0.500, 0.500)
Ir (0.500, 0.000, 0.500)
Ir (0.500, 0.500, 0.000)
Br (0.500, 0.500, 0.500)

# 7
# SmTh2CrC4

SmTh2CrC4 after structural relaxation (PBE, Alexandria).

Results
The space group is Cmcm, No. 63. As for the formation energy from the elements: -0.043 eV/atom.

Cell lengths 6.303, 6.303, 12.577 Å; angles 90.00, 90.00, 146.55 degrees
Positions (direct):
Sm (0.105, 0.895, 0.750)
Sm (0.895, 0.105, 0.250)
Th (0.367, 0.633, 0.545)
Th (0.367, 0.633, 0.955)
Th (0.633, 0.367, 0.045)
Th (0.633, 0.367, 0.455)
Cr (0.175, 0.825, 0.250)
Cr (0.825, 0.175, 0.750)
C (0.000, 0.000, 0.000)
C (0.000, 0.000, 0.500)
C (0.269, 0.731, 0.138)
C (0.269, 0.731, 0.362)
C (0.398, 0.602, 0.750)
C (0.602, 0.398, 0.250)
C (0.731, 0.269, 0.638)
C (0.731, 0.269, 0.862)

# 8
# Dy2ZnAg3

Dy2ZnAg3 after structural relaxation (PBE, Alexandria).

Results
The space group is Fmmm, No. 69. As for the formation energy from the elements: -0.294 eV/atom.

Cell lengths 9.425, 8.820, 5.789 Å; angles 77.29, 65.90, 36.81 degrees
Positions (direct):
Dy (0.248, 0.752, 0.752)
Dy (0.250, 0.250, 0.250)
Dy (0.750, 0.750, 0.750)
Dy (0.752, 0.248, 0.248)
Zn (0.333, 0.333, 0.667)
Zn (0.667, 0.667, 0.333)
Ag (0.170, 0.170, 0.830)
Ag (0.171, 0.658, 0.342)
Ag (0.342, 0.829, 0.171)
Ag (0.658, 0.171, 0.829)
Ag (0.829, 0.342, 0.658)
Ag (0.830, 0.830, 0.170)